## CdTeClO2 (GGA-PBE)

Data for crystalline CdTeClO2 at its relaxed geometry.

Cell: 6.1168 4.7170 7.1149 Å, 90.00 102.41 90.00°
Element x y z (fractional)
Cd: 0.1660 0.2500 0.4102
Cd: 0.8340 0.7500 0.5898
Te: 0.1980 0.2500 0.9199
Te: 0.8020 0.7500 0.0801
Cl: 0.4526 0.7500 0.6734
Cl: 0.5474 0.2500 0.3266
O: 0.0019 0.7500 0.3394
O: 0.0066 0.7500 0.9111
O: 0.9934 0.2500 0.0889
O: 0.9981 0.2500 0.6606

---

## TeAsP2I (GGA-PBE)

Data for crystalline TeAsP2I at its relaxed geometry.

Cell: 5.1261 5.1261 5.3561 Å, 90.00 90.00 90.00°
Element x y z (fractional)
Te: 0.0000 0.0000 0.0000
As: 0.5000 0.5000 0.0000
P: 0.0000 0.5000 0.5000
P: 0.5000 0.0000 0.5000
I: 0.5000 0.5000 0.5000

---

## Er3TmTl3Te8 (GGA-PBE)

Data for crystalline Er3TmTl3Te8 at its relaxed geometry.

Cell: 8.7238 8.7238 9.6289 Å, 117.01 117.01 59.91°
Element x y z (fractional)
Er: 0.0000 0.0000 0.0000
Er: 0.0000 0.5000 0.0000
Er: 0.5000 0.0000 0.0000
Tm: 0.5000 0.5000 0.0000
Tl: 0.0000 0.5000 0.5000
Tl: 0.5000 0.0000 0.5000
Tl: 0.5000 0.5000 0.5000
Te: 0.2369 0.7379 0.2127
Te: 0.2379 0.2379 0.2138
Te: 0.2621 0.2621 0.7873
Te: 0.2621 0.7631 0.7873
Te: 0.7379 0.2369 0.2127
Te: 0.7379 0.7379 0.2127
Te: 0.7621 0.7621 0.7862
Te: 0.7631 0.2621 0.7873

---

Number 1: E_tot -3.98 eV/atom, uncorrected formation energy -0.81 eV per atom, total magnetic moment 0.0 μB per cell. Number 2: E_tot -2.60 eV/atom, uncorrected formation energy 1.44 eV per atom, total magnetic moment 0.0 μB per cell. Number 3: E_tot -4.40 eV/atom, uncorrected formation energy -1.04 eV per atom, total magnetic moment 0.0 μB per cell.